(1)
The following is a GGA-PBE calculation of a relaxed ZrHgBr2 crystal, from Alexandria via LeMat-Bulk.

## Properties
ΔE_f (raw), eV/atom: -0.749

a b c (Å): 3.3668 3.3668 10.1515
angles (deg): 90.00 90.00 90.00
With the nearest neighbours (Å) after each atom.
Positions (direct):
Zr 0.0000 0.0000 0.0000  8 Br 2.90
Hg 0.0000 0.0000 0.5000  4 Hg 3.37
Br 0.5000 0.5000 0.1627  4 Zr 2.90
Br 0.5000 0.5000 0.8373  4 Zr 2.90

(2)
The following is a GGA-PBE calculation of a relaxed ZrHgBr2 crystal, from Alexandria via LeMat-Bulk.

## Properties
ΔE_f (raw), eV/atom: -0.458

a b c (Å): 3.5029 3.5029 8.3270
angles (deg): 90.00 90.00 90.00
With the nearest neighbours (Å) after each atom.
Positions (direct):
Zr 0.0000 0.0000 0.0000  4 Br 2.95, 4 Hg 3.08
Hg 0.5000 0.5000 0.7803  4 Br 3.04, 4 Zr 3.08
Br 0.0000 0.0000 0.5693  4 Hg 3.04
Br 0.5000 0.5000 0.1935  4 Zr 2.95

(3)
The following is a GGA-PBE calculation of a relaxed ZrHgBr2 crystal, from Alexandria via LeMat-Bulk.

## Properties
ΔE_f (raw), eV/atom: -0.060

a b c (Å): 5.9580 5.9580 5.9580
angles (deg): 136.28 136.28 63.54
With the nearest neighbours (Å) after each atom.
Positions (direct):
Zr 0.0000 0.0000 0.0000  8 Br 3.14-3.37, 4 Hg 3.37
Hg 0.7500 0.2500 0.5000  8 Br 3.14-3.37, 4 Zr 3.37
Br 0.2500 0.7500 0.5000  4 Hg 3.14, 4 Zr 3.37, 4 Br 3.37
Br 0.5000 0.5000 0.0000  4 Zr 3.14, 4 Hg 3.37, 4 Br 3.37

(4)
The following is a GGA-PBE calculation of a relaxed Zr2HgBr8 crystal, from Alexandria via LeMat-Bulk.

## Properties
ΔE_f (raw), eV/atom: -1.180

a b c (Å): 9.6441 9.6441 9.6441
angles (deg): 147.42 98.52 90.52
With the nearest neighbours (Å) after each atom.
Positions (direct):
Zr 0.1705 0.0000 0.1705  6 Br 2.50-2.78
Zr 0.8295 0.0000 0.8295  6 Br 2.50-2.78
Hg 0.5000 0.5000 0.0000  10 Br 4.20-4.37
Br 0.1306 0.1306 0.0000  2 Zr 2.78
Br 0.1528 0.5000 0.6528  2 Zr 2.71
Br 0.1537 0.8574 0.2963  1 Zr 2.50
Br 0.4389 0.1426 0.2963  1 Zr 2.50
Br 0.5611 0.8574 0.7037  1 Zr 2.50
Br 0.8463 0.1426 0.7037  1 Zr 2.50
Br 0.8472 0.5000 0.3472  2 Zr 2.71
Br 0.8694 0.8694 0.0000  2 Zr 2.78

(5)
The following is a GGA-PBE calculation of a relaxed ZrHgBr2 crystal, from Alexandria via LeMat-Bulk.

## Properties
ΔE_f (raw), eV/atom: -0.862

a b c (Å): 11.8728 11.8728 11.8728
angles (deg): 16.95 16.95 16.95
With the nearest neighbours (Å) after each atom.
Positions (direct):
Zr 0.0000 0.0000 0.0000  6 Br 2.78
Hg 0.5000 0.5000 0.5000  6 Hg 3.50
Br 0.3879 0.3879 0.3879  3 Zr 2.78
Br 0.6121 0.6121 0.6121  3 Zr 2.78

(6)
The following is a GGA-PBE calculation of a relaxed ZrHgBr2 crystal, from Alexandria via LeMat-Bulk.

## Properties
ΔE_f (raw), eV/atom: -0.637

a b c (Å): 3.5610 3.5223 10.8078
angles (deg): 90.00 90.22 90.00
With the nearest neighbours (Å) after each atom.
Positions (direct):
Zr 0.0000 0.0000 0.0000  4 Br 2.68
Hg 0.5000 0.0000 0.5000  4 Hg 3.52-3.56
Br 0.0035 0.5000 0.1872  2 Zr 2.68
Br 0.9965 0.5000 0.8128  2 Zr 2.68

(7)
The following is a GGA-PBE calculation of a relaxed ZrHg3Br crystal, from Alexandria via LeMat-Bulk.

## Properties
ΔE_f (raw), eV/atom: 0.994

a b c (Å): 5.5815 5.5815 5.5815
angles (deg): 90.00 90.00 90.00
With the nearest neighbours (Å) after each atom.
Positions (direct):
Zr 0.0000 0.0000 0.0000  12 Hg 3.95
Hg 0.0000 0.5000 0.5000  2 Br 2.79
Hg 0.5000 0.0000 0.5000  2 Br 2.79
Hg 0.5000 0.5000 0.0000  2 Br 2.79
Br 0.5000 0.5000 0.5000  6 Hg 2.79

(8)
The following is a GGA-PBE calculation of a relaxed ZrHgBr2 crystal, from Alexandria via LeMat-Bulk.

## Properties
ΔE_f (raw), eV/atom: -0.540

a b c (Å): 7.3505 7.3505 7.3505
angles (deg): 99.83 99.83 131.19
With the nearest neighbours (Å) after each atom.
Positions (direct):
Zr 0.0000 0.0000 0.0000  4 Br 2.71, 2 Hg 3.04
Zr 0.7500 0.2500 0.5000  4 Br 2.71, 2 Hg 3.04
Hg 0.2500 0.7500 0.5000  2 Zr 3.04
Hg 0.5000 0.5000 0.0000  2 Zr 3.04
Br 0.3750 0.2398 0.3648  2 Zr 2.71
Br 0.7602 0.1250 0.1352  2 Zr 2.71
Br 0.8750 0.0102 0.6352  2 Zr 2.71
Br 0.9898 0.6250 0.8648  2 Zr 2.71

(9)
The following is a GGA-PBE calculation of a relaxed ZrHgBr2 crystal, from Alexandria via LeMat-Bulk.

## Properties
ΔE_f (raw), eV/atom: -0.728

a b c (Å): 7.9177 7.9177 7.9177
angles (deg): 155.54 140.65 46.88
With the nearest neighbours (Å) after each atom.
Positions (direct):
Zr 0.0000 0.0000 0.0000  4 Br 2.75
Hg 0.5000 0.5000 0.0000  4 Zr 3.15, 2 Hg 3.35, 4 Br 3.44
Br 0.1500 0.6500 0.5000  2 Zr 2.75
Br 0.8500 0.3500 0.5000  2 Zr 2.75

(10)
The following is a GGA-PBE calculation of a relaxed ZrHgBr2 crystal, from Alexandria via LeMat-Bulk.

## Properties
ΔE_f (raw), eV/atom: -0.652

a b c (Å): 3.6955 3.6955 11.6447
angles (deg): 90.00 90.00 124.84
With the nearest neighbours (Å) after each atom.
Positions (direct):
Zr 0.0000 0.0000 0.0000  4 Br 2.71
Hg 0.0000 0.0000 0.5000  6 Hg 3.42-3.70
Br 0.5000 0.5000 0.1807  2 Zr 2.71
Br 0.5000 0.5000 0.8193  2 Zr 2.71

(11)
The following is a GGA-PBE calculation of a relaxed ZrHgBr2 crystal, from Alexandria via LeMat-Bulk.

## Properties
ΔE_f (raw), eV/atom: 0.072

a b c (Å): 5.2229 5.2229 5.2229
angles (deg): 60.00 60.00 60.00
With the nearest neighbours (Å) after each atom.
Positions (direct):
Zr 0.0000 0.0000 0.0000  4 Hg 3.20, 4 Br 3.20
Hg 0.2500 0.2500 0.2500  4 Zr 3.20, 4 Br 3.20
Br 0.5000 0.5000 0.5000  4 Br 3.20, 4 Hg 3.20
Br 0.7500 0.7500 0.7500  4 Br 3.20, 4 Zr 3.20

(12)
The following is a GGA-PBE calculation of a relaxed ZrHgBr2 crystal, from Alexandria via LeMat-Bulk.

## Properties
ΔE_f (raw), eV/atom: -0.117

a b c (Å): 5.4086 5.4086 3.4840
angles (deg): 90.00 90.00 104.94
With the nearest neighbours (Å) after each atom.
Positions (direct):
Zr 0.0000 0.0000 0.0000  8 Br 3.22, 2 Hg 3.29, 2 Zr 3.48
Hg 0.5000 0.5000 0.0000  8 Br 3.22, 2 Zr 3.29, 2 Hg 3.48
Br 0.0000 0.5000 0.5000  4 Hg 3.22, 4 Zr 3.22, 4 Br 3.29-3.48
Br 0.5000 0.0000 0.5000  4 Hg 3.22, 4 Zr 3.22, 4 Br 3.29-3.48

(13)
The following is a GGA-PBE calculation of a relaxed HoBr3 crystal, from Alexandria via LeMat-Bulk.

## Properties
ΔE_f (raw), eV/atom: -1.823

a b c (Å): 7.1934 7.1934 7.1934
angles (deg): 149.97 69.43 119.04
With the nearest neighbours (Å) after each atom.
Positions (direct):
Ho 0.0000 0.0000 0.0000  6 Br 2.81-2.82
Br 0.0093 0.3549 0.6545  2 Ho 2.82
Br 0.2890 0.7890 0.5000  2 Ho 2.81
Br 0.7004 0.3549 0.3455  2 Ho 2.82

(14)
The following is a GGA-PBE calculation of a relaxed Ho4Br crystal, from Alexandria via LeMat-Bulk.

## Properties
ΔE_f (raw), eV/atom: -0.159

a b c (Å): 5.3942 5.3942 5.3942
angles (deg): 90.00 90.00 90.00
With the nearest neighbours (Å) after each atom.
Positions (direct):
Ho 0.0000 0.0000 0.0000  12 Ho 3.81
Ho 0.0000 0.5000 0.5000  2 Br 2.70
Ho 0.5000 0.0000 0.5000  2 Br 2.70
Ho 0.5000 0.5000 0.0000  2 Br 2.70
Br 0.5000 0.5000 0.5000  6 Ho 2.70

(15)
The following is a GGA-PBE calculation of a relaxed HoBr4 crystal, from Alexandria via LeMat-Bulk.

## Properties
ΔE_f (raw), eV/atom: -1.160

a b c (Å): 5.5711 5.5711 5.5711
angles (deg): 90.00 90.00 90.00
With the nearest neighbours (Å) after each atom.
Positions (direct):
Ho 0.0000 0.0000 0.0000  6 Br 2.79
Br 0.0000 0.0000 0.5000  2 Ho 2.79
Br 0.0000 0.5000 0.0000  2 Ho 2.79
Br 0.5000 0.0000 0.0000  2 Ho 2.79
Br 0.5000 0.5000 0.5000  12 Br 3.94

(16)
The following is a GGA-PBE calculation of a relaxed HoBr crystal, from Alexandria via LeMat-Bulk.

## Properties
ΔE_f (raw), eV/atom: -1.136

a b c (Å): 3.7141 3.7141 9.1581
angles (deg): 90.00 90.07 90.00
With the nearest neighbours (Å) after each atom.
Positions (direct):
Ho 0.2504 0.2500 0.1298  4 Br 3.05
Ho 0.7496 0.7500 0.8702  4 Br 3.05
Br 0.2491 0.2500 0.7008  4 Ho 3.05
Br 0.7509 0.7500 0.2992  4 Ho 3.05

(17)
The following is a GGA-PBE calculation of a relaxed HoIBr crystal, from Alexandria via LeMat-Bulk.

## Properties
ΔE_f (raw), eV/atom: -1.372

a b c (Å): 3.9927 6.8904 8.6880
angles (deg): 110.60 102.60 90.00
With the nearest neighbours (Å) after each atom.
Positions (direct):
Ho 0.2487 0.2618 0.4980  3 Br 2.89-2.90, 3 I 3.05
Ho 0.7513 0.7382 0.5020  3 Br 2.89-2.90, 3 I 3.05
I 0.3748 0.7008 0.7622  3 Ho 3.05
I 0.6252 0.2992 0.2378  3 Ho 3.05
Br 0.1500 0.8246 0.2887  3 Ho 2.89-2.90
Br 0.8500 0.1754 0.7113  3 Ho 2.89-2.90

(18)
The following is a GGA-PBE calculation of a relaxed HoI2Br crystal, from Alexandria via LeMat-Bulk.

## Properties
ΔE_f (raw), eV/atom: -1.497

a b c (Å): 7.7071 7.7071 7.7071
angles (deg): 150.76 68.38 119.73
With the nearest neighbours (Å) after each atom.
Positions (direct):
Ho 0.0000 0.0000 0.0000  2 Br 2.83, 4 I 3.04
I 0.0038 0.3461 0.6578  2 Ho 3.04
I 0.6883 0.3461 0.3422  2 Ho 3.04
Br 0.2654 0.7654 0.5000  2 Ho 2.83

(19)
The following is a GGA-PBE calculation of a relaxed HoIBr crystal, from Alexandria via LeMat-Bulk.

## Properties
ΔE_f (raw), eV/atom: -1.361

a b c (Å): 3.9892 3.9892 7.8145
angles (deg): 90.00 90.00 120.00
With the nearest neighbours (Å) after each atom.
Positions (direct):
Ho 0.0000 0.0000 0.0000  3 Br 2.90, 3 I 3.04
I 0.3333 0.6667 0.7452  3 Ho 3.04
Br 0.6667 0.3333 0.2252  3 Ho 2.90

(20)
The following is a GGA-PBE calculation of a relaxed HoI2Br crystal, from Alexandria via LeMat-Bulk.

## Properties
ΔE_f (raw), eV/atom: -1.516

a b c (Å): 4.3273 5.5734 8.7034
angles (deg): 88.95 75.66 90.00
With the nearest neighbours (Å) after each atom.
Positions (direct):
Ho 0.0000 0.0000 0.0000  2 Br 2.79, 4 I 3.03
I 0.3745 0.9928 0.2521  2 Ho 3.03
I 0.6255 0.0072 0.7479  2 Ho 3.03
Br 0.0000 0.5000 0.0000  2 Ho 2.79

These records have total energy values of -15.191, -14.029, -12.437, -43.757, -15.644, -14.746, -6.155, -28.715, -15.106, -14.805, -11.906, -12.663, -16.890, -20.777, -17.069, -17.046, -23.835, -15.338, -11.883, -15.417 eV per cell, in the order they appear.